Entry 1:
Density functional theory data (GGA-PBE) for a relaxed structure of CaNdCd.

Output
Energy above the lowest structure with this stoichiometry ... 187 meV per atom
Size of the total moment ... 0.00 μB/cell
Energy relative to the elements ... -0.008 eV per atom

Cell: 7.5154 7.5154 9.2976 Å, 114.19 114.20 89.20°
Fractional positions:
Cd1 0.0411 0.4662 0.5000
Nd1 0.1647 0.5898 0.2545
Ca1 0.6622 0.5873 0.2495
Nd2 0.1602 0.0853 0.2455
Cd2 0.5338 0.9589 0.5000
Ca2 0.6627 0.0878 0.2505
Nd3 0.4102 0.8353 0.7455
Nd4 0.9147 0.8398 0.7545
Ca3 0.9122 0.3373 0.7495
Ca4 0.4127 0.3378 0.7505
Cd3 0.2838 0.2089 0.0000
Cd4 0.7911 0.7162 0.0000

***

Entry 2:
Density functional theory data (GGA-PBE) for a relaxed structure of CaNd3Cd6.

Output
Size of the total moment ... 0.55 μB/cell
Energy relative to the elements ... -0.292 eV per atom

Cell: 5.2521 9.4580 11.3078 Å, 105.23 90.00 90.00°
Last column: magnetic moment on the atom in μB.
Fractional positions:
Cd1 0.7500 0.8560 0.8104  0.00
Cd2 0.7500 0.3322 0.2935  0.00
Cd3 0.2500 0.0499 0.8944  0.00
Cd4 0.7500 0.5528 0.9111  0.00
Ca1 0.2500 0.9462 0.6044  0.00
Cd5 0.7500 0.9501 0.1056  0.00
Nd1 0.2500 0.7634 0.0016  0.01
Nd2 0.2500 0.5273 0.3900  0.08
Nd3 0.2500 0.3499 0.7858  0.05
Cd6 0.7500 0.7608 0.5108  0.00
Cd7 0.2500 0.1440 0.1896  0.00
Cd8 0.2500 0.6678 0.7065  0.00
Cd9 0.7500 0.1441 0.6947  0.00
Nd4 0.7500 0.4727 0.6100  0.08
Cd10 0.2500 0.4472 0.0889  0.00
Cd11 0.2500 0.8559 0.3053  0.00
Cd12 0.2500 0.2392 0.4892  0.00
Nd5 0.7500 0.6501 0.2142  0.05
Ca2 0.7500 0.0538 0.3956  0.00
Nd6 0.7500 0.2366 0.9984  0.01

***

Entry 3:
Density functional theory data (GGA-PBE) for a relaxed structure of CaNdCd.

Output
Energy above the lowest structure with this stoichiometry ... 7 meV per atom
Size of the total moment ... 0.00 μB/cell
Energy relative to the elements ... -0.188 eV per atom

Cell: 3.7341 3.7341 7.3729 Å, 104.67 104.67 90.00°
Fractional positions:
Ca1 0.5949 0.5949 0.1898
Nd1 0.3054 0.3054 0.6108
Cd1 0.9497 0.9497 0.8994

***

Entry 4:
Density functional theory data (GGA-PBE) for a relaxed structure of Ca2Nd2Cd3.

Output
Size of the total moment ... 0.00 μB/cell
Energy relative to the elements ... -0.226 eV per atom

Cell: 5.3888 5.3956 9.2996 Å, 90.03 106.78 119.95°
Fractional positions:
Cd1 0.4910 0.7458 0.2364
Ca1 0.7432 0.8714 0.6152
Cd2 0.5090 0.2542 0.7636
Cd3 0.0000 0.0000 0.0000
Ca2 0.2568 0.1286 0.3848
Nd1 0.2395 0.6198 0.8596
Nd2 0.7605 0.3802 0.1404

***

Entry 5:
Density functional theory data (GGA-PBE) for a relaxed structure of CaNd2Cd2.

Output
Energy above the lowest structure with this stoichiometry ... 58 meV per atom
Size of the total moment ... 0.00 μB/cell
Energy relative to the elements ... -0.197 eV per atom

Cell: 5.0781 7.2263 11.3930 Å, 129.50 102.88 90.00°
Fractional positions:
Nd1 0.6324 0.2638 0.2649
Nd2 0.6324 0.7638 0.2649
Cd1 0.1984 0.1462 0.3968
Cd2 0.8016 0.8538 0.6032
Nd3 0.3676 0.2362 0.7351
Nd4 0.3676 0.7362 0.7351
Cd3 0.8016 0.3538 0.6032
Cd4 0.1984 0.6462 0.3968
Ca1 0.0000 0.2500 0.0000
Ca2 0.0000 0.7500 0.0000

***

Entry 6:
Density functional theory data (GGA-PBE) for a relaxed structure of CaNd2Cd8.

Output
Size of the total moment ... 0.00 μB/cell
Energy relative to the elements ... -0.280 eV per atom

Cell: 5.4041 6.5070 9.1498 Å, 110.87 107.22 89.88°
Fractional positions:
Cd1 0.2997 0.7997 0.5993
Cd2 0.8705 0.6416 0.7414
Nd1 0.3103 0.3103 0.6205
Cd3 0.2508 0.4988 0.0000
Cd4 0.7492 0.5012 0.0000
Cd5 0.8709 0.0999 0.7414
Cd6 0.1295 0.3584 0.2586
Cd7 0.1291 0.9001 0.2586
Cd8 0.7003 0.2003 0.4007
Nd2 0.6897 0.6897 0.3795
Ca1 0.5000 0.0000 0.0000

***

Entry 7:
Density functional theory data (GGA-PBE) for a relaxed structure of CaNd2Cd9.

Output
Size of the total moment ... 0.00 μB/cell
Energy relative to the elements ... -0.240 eV per atom

Cell: 6.0547 6.0547 10.2076 Å, 72.75 72.75 60.00°
Fractional positions:
Nd1 0.1419 0.1419 0.5744
Cd1 0.6648 0.6648 0.0055
Cd2 0.4114 0.4114 0.2546
Cd3 0.5886 0.5886 0.7454
Cd4 0.4114 0.9226 0.2546
Ca1 0.0000 0.0000 0.0000
Cd5 0.9226 0.4114 0.2546
Nd2 0.8581 0.8581 0.4256
Cd6 0.0774 0.5886 0.7454
Cd7 0.3352 0.3352 0.9945
Cd8 0.5886 0.0774 0.7454
Cd9 0.5000 0.5000 0.5000

***

Entry 8:
Density functional theory data (GGA-PBE) for a relaxed structure of CaNd2Cd5.

Output
Size of the total moment ... 0.32 μB/cell
Energy relative to the elements ... -0.291 eV per atom

Cell: 5.1256 5.1256 8.8299 Å, 106.87 106.87 90.00°
Last column: magnetic moment on the atom in μB.
Fractional positions:
Cd1 0.3830 0.8830 0.7659  0.00
Nd1 0.7376 0.7376 0.4752  0.09
Cd2 0.5000 0.5000 0.0000  0.00
Cd3 0.8830 0.3830 0.7659  0.00
Ca1 0.0000 0.0000 0.0000  0.00
Cd4 0.1170 0.6170 0.2341  0.00
Cd5 0.6170 0.1170 0.2341  0.00
Nd2 0.2624 0.2624 0.5248  0.09